1.
Below is a geometry-optimized Er2TcTe structure, with properties calculated at the PBE-GGA level.

a = 3.7203 Å, b = 3.7203 Å, c = 27.6650 Å
α = 90.00°, β = 90.00°, γ = 120.00°
Space group R-3m (No. 166, hexagonal axes)
Inequivalent atoms, fractional coordinates:
Er1 0.0000 0.0000 0.0895 x6
Tc1 0.0000 0.0000 0.0000 x3
Te1 0.0000 0.0000 0.5000 x3

## Properties
relative energy among the computed polymorphs	0.848	eV/atom
total DFT energy (no corrections)	-5.329	eV per atom
uncorrected formation energy	0.329	eV/atom

2.
Below is a geometry-optimized Er6TcTe2 structure, with properties calculated at the PBE-GGA level.

a = 8.2322 Å, b = 8.2322 Å, c = 4.0692 Å
α = 90.00°, β = 90.00°, γ = 120.00°
Space group P-62m (No. 189)
Inequivalent atoms, fractional coordinates:
Er1 0.0000 0.2381 0.0000 x3
Er2 0.0000 0.6107 0.5000 x3
Tc1 0.0000 0.0000 0.5000 x1
Te1 0.3333 0.6667 0.0000 x2

## Properties
total DFT energy (no corrections)	-5.552	eV per atom
uncorrected formation energy	-0.660	eV/atom

3.
Below is a geometry-optimized Er5Tc2Te2 structure, with properties calculated at the PBE-GGA level.

a = 16.0989 Å, b = 7.6254 Å, c = 7.5774 Å
α = 90.00°, β = 90.00°, γ = 90.00°
Space group Cmce (No. 64)
Inequivalent atoms, fractional coordinates:
Er1 0.0000 0.0000 0.0000 x4
Er2 0.1225 0.1738 0.3277 x16
Tc1 0.0000 0.1161 0.6116 x8
Te1 0.2132 0.0000 0.0000 x8

## Properties
total DFT energy (no corrections)	-6.175	eV per atom
uncorrected formation energy	-0.639	eV/atom